Here is crystalline NdTcPH2 at its relaxed geometry from the Alexandria database. Energies are from PBE-GGA.

The density of states at the Fermi level comes out at 6.20 states/eV/cell. The total energy comes out at -6.087 eV/atom. The magnetic moment is 0.00 μB/atom. The calculation puts the calculated density at 7.364 g cm⁻³.

Cell and atoms, written as CIF:
```
data_NdTcPH2
_chemical_formula_sum 'Nd4 Tc4 P4 H8'
_symmetry_space_group_name_H-M 'C m c m'
_symmetry_Int_Tables_number 63
_symmetry_space_group_name_Hall '-C 2c 2'
_cell_length_a 3.837
_cell_length_b 10.528
_cell_length_c 6.144
_cell_angle_alpha 90.00
_cell_angle_beta 90.00
_cell_angle_gamma 90.00
loop_
_atom_site_label
_atom_site_fract_x
_atom_site_fract_y
_atom_site_fract_z
Nd1 0.000 0.210 0.250
Tc1 0.000 0.500 0.000
P1 0.000 0.069 0.750
H1 0.000 0.335 0.558
```


Here is crystalline Tb2PuO6 at its relaxed geometry from the Alexandria database. Energies are from PBE-GGA.

The density of states at the Fermi level comes out at 12.49 states/eV/cell. The magnetic moment is 0.22 μB/atom. For the formation energy without anion corrections, the calculation gives -28.10 eV per formula unit. Its energy relative to the lowest polymorph listed for this composition is 0.000 eV per atom. The calculation puts the calculated density at 9.490 g cm⁻³.

Cell and atoms, written as CIF:
```
data_Tb2PuO6
_chemical_formula_sum 'Tb4 Pu2 O12'
_symmetry_space_group_name_H-M 'I m m m'
_symmetry_Int_Tables_number 71
_symmetry_space_group_name_Hall '-I 2 2'
_cell_length_a 3.861
_cell_length_b 5.367
_cell_length_c 11.111
_cell_angle_alpha 90.00
_cell_angle_beta 90.00
_cell_angle_gamma 90.00
loop_
_atom_site_label
_atom_site_fract_x
_atom_site_fract_y
_atom_site_fract_z
Tb1 0.000 0.000 0.166
Pu1 0.000 0.000 0.500
O1 0.000 0.241 0.344
O2 0.000 0.270 0.000
```


Here is crystalline CoHgIr at its relaxed geometry from the Alexandria database. Energies are from PBE-GGA.

The density of states at the Fermi level comes out at 9.55 states/eV/cell. The magnetic moment is 0.78 μB/atom. Its energy relative to the lowest polymorph listed for this composition is 0.287 eV per atom. The calculation puts the calculated density at 14.456 g cm⁻³.

Cell and atoms, written as CIF:
```
data_CoHgIr
_chemical_formula_sum 'Co4 Hg4 Ir4'
_symmetry_space_group_name_H-M 'F -4 3 m'
_symmetry_Int_Tables_number 216
_symmetry_space_group_name_Hall 'F -4 2 3'
_cell_length_a 5.921
_cell_length_b 5.921
_cell_length_c 5.921
_cell_angle_alpha 90.00
_cell_angle_beta 90.00
_cell_angle_gamma 90.00
loop_
_atom_site_label
_atom_site_fract_x
_atom_site_fract_y
_atom_site_fract_z
Co1 0.000 0.000 0.000
Hg1 0.250 0.250 0.750
Ir1 0.250 0.250 0.250
```


Here is crystalline SrTc2PbF at its relaxed geometry from the Alexandria database. Energies are from PBE-GGA.

The density of states at the Fermi level comes out at 6.03 states/eV/cell. The magnetic moment is 1.13 μB/atom. For the formation energy without anion corrections, the calculation gives 5.38 eV per formula unit. The calculation puts the calculated density at 4.787 g cm⁻³.

Cell and atoms, written as CIF:
```
data_SrTc2PbF
_chemical_formula_sum 'Sr1 Tc2 Pb1 F1'
_symmetry_space_group_name_H-M 'P 4/m m m'
_symmetry_Int_Tables_number 123
_symmetry_space_group_name_Hall '-P 4 2'
_cell_length_a 5.162
_cell_length_b 5.162
_cell_length_c 6.636
_cell_angle_alpha 90.00
_cell_angle_beta 90.00
_cell_angle_gamma 90.00
loop_
_atom_site_label
_atom_site_fract_x
_atom_site_fract_y
_atom_site_fract_z
Sr1 0.000 0.000 0.000
Tc1 0.000 0.500 0.500
Pb1 0.000 0.000 0.500
F1 0.500 0.500 0.000
```


Which of these has the highest magnetic moment? SrTc2PbF